1.
This record from the Alexandria database describes Be2ReRu after structural relaxation. The functional is PBE-GGA.

Structure (POSCAR):
```
Be2ReRu
1.0
-6.157 1.801 -4.995
-4.302 1.095 -6.811
-5.813 -0.791 -5.628
Ru Re Be
1 1 2
Direct
0.745 0.745 0.745
0.503 0.503 0.503
0.252 0.252 0.252
0.000 0.000 0.000
```

Energy relative to the elements ... 0.221 eV per atom

---

2.
This record from the Alexandria database describes BeRe4Ru after structural relaxation. The functional is PBE-GGA.

Structure (POSCAR):
```
BeRe4Ru
1.0
-0.974 -4.999 0.376
-3.356 -1.694 3.456
-4.516 -1.843 -1.515
Re Ru Be
4 1 1
Direct
0.374 0.878 0.374
0.374 0.374 0.374
0.878 0.374 0.374
0.374 0.374 0.878
0.750 0.750 0.750
0.000 0.000 0.000
```

Energy relative to the elements ... 0.648 eV per atom

---

3.
This record from the Alexandria database describes Sc2Be2ReRu5 after structural relaxation. The functional is PBE-GGA.

Structure (POSCAR):
```
Sc2Be2ReRu5
1.0
3.143 0.000 0.000
0.000 9.470 0.000
0.000 0.000 9.470
Be Sc Ru Re
4 4 10 2
Direct
0.000 0.879 0.379
0.000 0.621 0.879
0.000 0.121 0.621
0.000 0.379 0.121
0.000 0.827 0.673
0.000 0.673 0.173
0.000 0.173 0.327
0.000 0.327 0.827
0.500 0.500 0.000
0.500 0.793 0.930
0.500 0.707 0.430
0.500 0.930 0.207
0.500 0.070 0.793
0.500 0.570 0.707
0.500 0.207 0.070
0.500 0.430 0.293
0.500 0.293 0.570
0.500 0.000 0.500
0.000 0.500 0.500
0.000 0.000 0.000
```

Energy relative to the elements ... -0.347 eV per atom

---

4.
This record from the Alexandria database describes BeReSiRu2 after structural relaxation. The functional is PBE-GGA.

Structure (POSCAR):
```
BeReSiRu2
1.0
4.336 0.000 0.000
0.000 4.053 0.000
0.000 0.000 4.336
Ru Re Be Si
2 1 1 1
Direct
0.500 0.000 0.000
0.000 0.000 0.500
0.500 0.500 0.500
0.000 0.500 0.000
0.000 0.000 0.000
```

E ... -6.952 eV/atom

---

5.
This record from the Alexandria database describes Be2Re2SiRu5 after structural relaxation. The functional is PBE-GGA.

Structure (POSCAR):
```
Be2Re2SiRu5
1.0
-1.157 -0.562 2.607
-6.038 -5.851 -3.940
6.009 -6.983 1.161
Ru Re Be Si
10 4 4 2
Direct
0.500 0.000 0.500
0.500 0.796 0.942
0.500 0.204 0.058
0.500 0.704 0.442
0.500 0.442 0.296
0.500 0.296 0.558
0.500 0.058 0.796
0.500 0.942 0.204
0.500 0.558 0.704
0.500 0.500 0.000
0.000 0.679 0.179
0.000 0.821 0.679
0.000 0.179 0.321
0.000 0.321 0.821
0.000 0.626 0.874
0.000 0.374 0.126
0.000 0.874 0.374
0.000 0.126 0.626
0.000 0.000 0.000
0.000 0.500 0.500
```

E ... -8.650 eV/atom

---

6.
This record from the Alexandria database describes BeReSiRu after structural relaxation. The functional is PBE-GGA.

Structure (POSCAR):
```
BeReSiRu
1.0
4.096 0.000 0.000
2.048 3.548 0.000
2.048 1.183 3.345
Si Ru Be Re
1 1 1 1
Direct
0.250 0.250 0.250
0.000 0.000 0.000
0.750 0.750 0.750
0.500 0.500 0.500
```

E ... -7.963 eV/atom

---

Number 1: density 10.135 Mg/m³, total magnetization 0.0 μB per cell. Number 2: density 15.072 Mg/m³, total magnetization 0.0 μB per cell. Number 3: density 9.419 Mg/m³, total magnetization 0.0 μB per cell. Number 4: density 9.272 Mg/m³, total magnetization 2.6 μB per cell. Number 5: density 12.244 Mg/m³, total magnetization 0.0 μB per cell. Number 6: density 11.081 Mg/m³, total magnetization 0.0 μB per cell.